Arrangement a

{"formula": "FeCuB3", "functional": "PBE", "state": "optimized geometry", "magnetic_moment_mub_per_fu": 2.46, "volume_a3_per_fu": 53.5, "dos_ef_per_ev_fu": 4.990, "lattice_angstrom": [[3.767, 0.000, 0.000], [0.000, 3.767, 0.000], [0.000, 0.000, 3.767]], "species": ["B", "B", "B", "Fe", "Cu"], "fractional_positions": [[0.000, 0.500, 0.000], [0.000, 0.000, 0.500], [0.500, 0.000, 0.000], [0.500, 0.500, 0.500], [0.000, 0.000, 0.000]]}

=====

Arrangement b

{"formula": "FeCuB3", "functional": "PBE", "state": "optimized geometry", "magnetic_moment_mub_per_fu": 0.00, "volume_a3_per_fu": 52.0, "dos_ef_per_ev_fu": 0.435, "lattice_angstrom": [[3.732, 0.000, 0.000], [0.000, 3.732, 0.000], [0.000, 0.000, 3.732]], "species": ["B", "B", "B", "Fe", "Cu"], "fractional_positions": [[0.000, 0.500, 0.000], [0.000, 0.000, 0.500], [0.500, 0.000, 0.000], [0.000, 0.000, 0.000], [0.500, 0.500, 0.500]]}

=====

Pick arrangement b: it beats the second-best structure by 792 meV/atom.

=====

Arrangement a

{"formula": "Ga3CuB", "functional": "PBE", "state": "optimized geometry", "magnetic_moment_mub_per_fu": 0.00, "volume_a3_per_fu": 82.3, "dos_ef_per_ev_fu": 2.325, "lattice_angstrom": [[4.349, 0.000, 0.000], [0.000, 4.349, 0.000], [0.000, 0.000, 4.349]], "species": ["B", "Cu", "Ga", "Ga", "Ga"], "fractional_positions": [[0.000, 0.000, 0.000], [0.500, 0.500, 0.500], [0.000, 0.500, 0.000], [0.000, 0.000, 0.500], [0.500, 0.000, 0.000]]}

=====

Arrangement b

{"formula": "Ga3CuB", "functional": "PBE", "state": "optimized geometry", "magnetic_moment_mub_per_fu": 0.00, "volume_a3_per_fu": 98.0, "dos_ef_per_ev_fu": 2.184, "lattice_angstrom": [[4.610, 0.000, 0.000], [0.000, 4.610, 0.000], [0.000, 0.000, 4.610]], "species": ["B", "Cu", "Ga", "Ga", "Ga"], "fractional_positions": [[0.500, 0.500, 0.500], [0.000, 0.000, 0.000], [0.000, 0.500, 0.000], [0.000, 0.000, 0.500], [0.500, 0.000, 0.000]]}

=====

Pick arrangement a: it beats the second-best structure by 446 meV/atom.